This record from Alexandria via LeMat-Bulk describes Cr2P3O13 after structural relaxation. The functional is PBE+U.

a = 6.2135 Å, b = 7.0397 Å, c = 21.7771 Å
α = 90.00°, β = 90.00°, γ = 99.84°
Last column: magnetic moment on the atom in μB.
Sites, in units of the cell vectors:
Cr 0.7133 0.4497 0.2903  1.42
Cr 0.7294 0.2840 0.5633  1.33
Cr 0.7706 0.2160 0.0633  1.33
Cr 0.7867 0.0503 0.7903  1.42
Cr 0.2133 0.9497 0.2097  1.42
Cr 0.2294 0.7840 0.9367  1.33
Cr 0.2706 0.7160 0.4367  1.33
Cr 0.2867 0.5503 0.7097  1.42
P 0.6133 0.1431 0.4173  -0.01
P 0.7775 0.4267 0.7037  0.01
P 0.7225 0.0733 0.2037  0.01
P 0.7287 0.7141 0.8987  0.00
P 0.7713 0.7859 0.3987  0.00
P 0.8867 0.3569 0.9173  -0.01
P 0.1133 0.6431 0.0827  -0.01
P 0.2287 0.2141 0.6013  0.00
P 0.2713 0.2859 0.1013  0.00
P 0.2775 0.9267 0.7963  0.01
P 0.2225 0.5733 0.2963  0.01
P 0.3867 0.8569 0.5827  -0.01
O 0.5094 0.9310 0.1892  -0.07
O 0.5161 0.7184 0.9328  -0.03
O 0.6238 0.3193 0.3770  0.09
O 0.6154 0.9744 0.5742  0.16
O 0.5802 0.7114 0.4421  -0.03
O 0.7355 0.4924 0.8838  -0.01
O 0.6841 0.1878 0.2622  -0.06
O 0.7133 0.2804 0.6507  -0.07
O 0.7271 0.1967 0.4791  0.13
O 0.6008 0.5521 0.7131  -0.08
O 0.6997 0.9917 0.0525  -0.33
O 0.7729 0.3033 0.9791  0.13
O 0.7867 0.2196 0.1507  -0.07
O 0.8159 0.3122 0.7622  -0.06
O 0.7429 0.9562 0.7242  -0.41
O 0.7645 0.0076 0.3838  -0.01
O 0.7448 0.8098 0.8354  -0.04
O 0.7552 0.6902 0.3354  -0.04
O 0.8762 0.1807 0.8770  0.09
O 0.7571 0.5438 0.2242  -0.41
O 0.8003 0.5083 0.5525  -0.33
O 0.8992 0.9479 0.2131  -0.08
O 0.0094 0.4310 0.3108  -0.07
O 0.9198 0.7886 0.9421  -0.03
O 0.0161 0.2184 0.5672  -0.03
O 0.8846 0.5256 0.0742  0.16
O 0.1154 0.4744 0.9258  0.16
O 0.9839 0.7816 0.4328  -0.03
O 0.0802 0.2114 0.0579  -0.03
O 0.9906 0.5690 0.6892  -0.07
O 0.1008 0.0521 0.7869  -0.08
O 0.1997 0.4917 0.4475  -0.33
O 0.2429 0.4562 0.7758  -0.41
O 0.1238 0.8193 0.1230  0.09
O 0.2448 0.3098 0.6646  -0.04
O 0.2552 0.1902 0.1646  -0.04
O 0.2355 0.9924 0.6162  -0.01
O 0.2571 0.0438 0.2758  -0.41
O 0.1841 0.6878 0.2378  -0.06
O 0.2133 0.7804 0.8493  -0.07
O 0.2271 0.6967 0.0209  0.13
O 0.3003 0.0083 0.9475  -0.33
O 0.3992 0.4479 0.2869  -0.08
O 0.2729 0.8033 0.5209  0.13
O 0.2867 0.7196 0.3493  -0.07
O 0.3159 0.8122 0.7378  -0.06
O 0.2645 0.5076 0.1162  -0.01
O 0.4198 0.2886 0.5579  -0.03
O 0.3846 0.0256 0.4258  0.16
O 0.3762 0.6807 0.6230  0.09
O 0.4839 0.2816 0.0672  -0.03
O 0.4906 0.0690 0.8108  -0.07

Output
* symmetry: No. 14
* calculated volume: 938.53 Å³ per cell
* magnetization: 0.11 μB per atom
* mass density: 2.866 Mg/m³
* uncorrected energy: -6.9746 eV/atom